[1]
! Ir2WCl, relaxed, DFT GGA-PBE; values from VASP
! - Total moment: 0.00 μB per formula unit
! - Calculated density: 12.08 g/cm³
! - Energy above the most stable polymorph in this dataset: 119 meV per atom
! - Crystal system: monoclinic
&SYSTEM
  ibrav = 0, nat = 4, ntyp = 3
/
ATOMIC_SPECIES
W 183.84 W.upf
Cl 35.45 Cl.upf
Ir 192.22 Ir.upf
ATOMIC_POSITIONS crystal
W 0.5291 0.5291 0.5855
Cl 0.0556 0.0556 0.2804
Ir 0.1038 0.1038 0.9045
Ir 0.8114 0.8114 0.7296
CELL_PARAMETERS angstrom
-0.6017 4.0636 -2.2641
0.5092 2.2091 -4.1063
-6.0134 -2.0289 -1.5839

***

[2]
! IrW2Cl, relaxed, DFT GGA-PBE; values from VASP
! - Total moment: 0.00 μB per formula unit
! - Calculated density: 14.92 g/cm³
! - Energy above the most stable polymorph in this dataset: 215 meV per atom
! - Crystal system: orthorhombic
&SYSTEM
  ibrav = 0, nat = 4, ntyp = 3
/
ATOMIC_SPECIES
Cl 35.45 Cl.upf
W 183.84 W.upf
Ir 192.22 Ir.upf
ATOMIC_POSITIONS crystal
Cl 0.5000 0.2500 0.2500
W 0.0000 0.2500 0.5327
W 0.0000 0.2500 0.9673
Ir 0.5000 0.7500 0.7500
CELL_PARAMETERS angstrom
3.9002 0.0000 0.0000
0.0000 2.8076 -0.0024
0.0000 0.0047 6.0521

***

[3]
! Ir2WCl, relaxed, DFT GGA-PBE; values from VASP
! - Total moment: 0.00 μB per formula unit
! - Calculated density: 16.36 g/cm³
! - Energy above the most stable polymorph in this dataset: 557 meV per atom
! - Crystal system: cubic
&SYSTEM
  ibrav = 0, nat = 4, ntyp = 3
/
ATOMIC_SPECIES
W 183.84 W.upf
Cl 35.45 Cl.upf
Ir 192.22 Ir.upf
ATOMIC_POSITIONS crystal
W 0.7500 0.7500 0.7500
Cl 0.5000 0.5000 0.5000
Ir 0.0000 0.0000 0.0000
Ir 0.2500 0.2500 0.2500
CELL_PARAMETERS angstrom
-2.1854 1.8194 -3.3907
-2.8653 -2.4259 -2.3426
-4.3441 0.7770 0.3291

***

[4]
! IrW2Cl, relaxed, DFT GGA-PBE; values from VASP
! - Total moment: 0.00 μB per formula unit
! - Calculated density: 15.36 g/cm³
! - Energy above the most stable polymorph in this dataset: 874 meV per atom
! - Crystal system: cubic
&SYSTEM
  ibrav = 0, nat = 4, ntyp = 3
/
ATOMIC_SPECIES
Cl 35.45 Cl.upf
Ir 192.22 Ir.upf
W 183.84 W.upf
ATOMIC_POSITIONS crystal
Cl 0.5000 0.5000 0.0000
Ir 0.7500 0.2500 0.5000
W 0.2500 0.7500 0.5000
W 0.0000 0.0000 0.0000
CELL_PARAMETERS angstrom
-0.2556 2.1597 3.9372
-4.4740 0.2126 -0.4122
2.0931 -3.9733 -0.2513

***

[5]
! Ir2WCl, relaxed, DFT GGA-PBE; values from VASP
! - Total moment: 0.00 μB per formula unit
! - Calculated density: 16.00 g/cm³
! - Energy above the most stable polymorph in this dataset: 1057 meV per atom
! - Crystal system: tetragonal
&SYSTEM
  ibrav = 0, nat = 4, ntyp = 3
/
ATOMIC_SPECIES
Ir 192.22 Ir.upf
Cl 35.45 Cl.upf
W 183.84 W.upf
ATOMIC_POSITIONS crystal
Ir 0.0000 0.5000 0.5000
Cl 0.5000 0.0000 0.5000
Ir 0.0000 0.0000 0.0000
W 0.5000 0.5000 0.0000
CELL_PARAMETERS angstrom
4.0452 0.0000 0.0000
0.0000 3.9358 0.0000
0.0000 0.0000 3.9358

***

[6]
! IrWCl4, relaxed, DFT GGA-PBE; values from VASP
! - Final energy: -17.85 eV per cell
! - Total moment: 1.16 μB per formula unit
! - Calculated density: 7.49 g/cm³
! - Crystal system: cubic
&SYSTEM
  ibrav = 0, nat = 6, ntyp = 3
/
ATOMIC_SPECIES
Ir 192.22 Ir.upf
Cl 35.45 Cl.upf
W 183.84 W.upf
ATOMIC_POSITIONS crystal
Ir 0.7500 0.7500 0.7500
Cl 0.3750 0.3750 0.3750
Cl 0.3750 0.3750 0.8751
Cl 0.8751 0.3750 0.3750
Cl 0.3750 0.8751 0.3750
W 0.0000 0.0000 0.0000
CELL_PARAMETERS angstrom
-5.3300 -0.8312 0.8060
-2.3276 1.5657 4.6776
-3.4428 4.2301 0.0509

***

[7]
! IrW2Cl, relaxed, DFT GGA-PBE; values from VASP
! - Total moment: 0.00 μB per formula unit
! - Calculated density: 15.07 g/cm³
! - Energy above the most stable polymorph in this dataset: 303 meV per atom
! - Crystal system: monoclinic
&SYSTEM
  ibrav = 0, nat = 4, ntyp = 3
/
ATOMIC_SPECIES
W 183.84 W.upf
Cl 35.45 Cl.upf
Ir 192.22 Ir.upf
ATOMIC_POSITIONS crystal
W 0.0024 0.0024 0.1069
W 0.7071 0.7071 0.7137
Cl 0.5106 0.5106 0.5230
Ir 0.2799 0.2799 0.1564
CELL_PARAMETERS angstrom
5.4187 0.0023 -0.0551
4.6847 2.7231 -0.0551
1.1081 0.2989 4.4382

***

[8]
! IrW2Cl, relaxed, DFT GGA-PBE; values from VASP
! - Total moment: 0.00 μB per formula unit
! - Calculated density: 16.12 g/cm³
! - Energy above the most stable polymorph in this dataset: 369 meV per atom
! - Crystal system: orthorhombic
&SYSTEM
  ibrav = 0, nat = 4, ntyp = 3
/
ATOMIC_SPECIES
Ir 192.22 Ir.upf
W 183.84 W.upf
Cl 35.45 Cl.upf
ATOMIC_POSITIONS crystal
Ir 0.2571 0.7571 0.5000
W 0.7247 0.2247 0.5000
Cl 0.5106 0.5106 0.0000
W 0.0076 0.0076 0.0000
CELL_PARAMETERS angstrom
5.3941 -0.0007 0.0002
2.6724 4.6856 -0.0002
-3.4281 -3.3844 2.4270

***

[9]
! Ir2WCl, relaxed, DFT GGA-PBE; values from VASP
! - Total moment: 0.00 μB per formula unit
! - Calculated density: 14.84 g/cm³
! - Energy above the most stable polymorph in this dataset: 362 meV per atom
! - Crystal system: orthorhombic
&SYSTEM
  ibrav = 0, nat = 4, ntyp = 3
/
ATOMIC_SPECIES
Cl 35.45 Cl.upf
W 183.84 W.upf
Ir 192.22 Ir.upf
ATOMIC_POSITIONS crystal
Cl 0.5000 0.5000 0.7060
W 0.0000 0.0000 0.4980
Ir 0.5000 0.5000 0.2650
Ir 0.0000 0.0000 0.0310
CELL_PARAMETERS angstrom
2.8296 0.0036 0.0000
-1.4583 2.4248 0.0000
0.0000 0.0000 9.8380

***

[10]
! IrW2Cl, relaxed, DFT GGA-PBE; values from VASP
! - Total moment: 0.00 μB per formula unit
! - Calculated density: 15.32 g/cm³
! - Energy above the most stable polymorph in this dataset: 419 meV per atom
! - Crystal system: orthorhombic
&SYSTEM
  ibrav = 0, nat = 4, ntyp = 3
/
ATOMIC_SPECIES
W 183.84 W.upf
Ir 192.22 Ir.upf
Cl 35.45 Cl.upf
ATOMIC_POSITIONS crystal
W 0.0000 0.0000 0.9995
W 0.0000 0.0000 0.5005
Ir 0.5000 0.5000 0.7500
Cl 0.5000 0.5000 0.2500
CELL_PARAMETERS angstrom
-1.7450 -0.2703 2.2508
-1.0106 -0.2204 -2.6672
1.5865 -9.0327 0.1454

***

[11]
! Ir2WCl, relaxed, DFT GGA-PBE; values from VASP
! - Total moment: 0.00 μB per formula unit
! - Calculated density: 15.47 g/cm³
! - Energy above the most stable polymorph in this dataset: 339 meV per atom
! - Crystal system: orthorhombic
&SYSTEM
  ibrav = 0, nat = 4, ntyp = 3
/
ATOMIC_SPECIES
Ir 192.22 Ir.upf
Cl 35.45 Cl.upf
W 183.84 W.upf
ATOMIC_POSITIONS crystal
Ir 0.9726 0.9726 0.0000
Cl 0.2500 0.7500 0.5000
Ir 0.5274 0.5274 0.0000
W 0.7500 0.2500 0.5000
CELL_PARAMETERS angstrom
-2.4756 4.7693 2.2508
-4.1648 3.1912 -2.5322
2.0681 -4.9493 2.2735

***

[12]
! IrW2Cl, relaxed, DFT GGA-PBE; values from VASP
! - Total moment: 0.00 μB per formula unit
! - Calculated density: 16.60 g/cm³
! - Energy above the most stable polymorph in this dataset: 347 meV per atom
! - Crystal system: tetragonal
&SYSTEM
  ibrav = 0, nat = 4, ntyp = 3
/
ATOMIC_SPECIES
Cl 35.45 Cl.upf
W 183.84 W.upf
Ir 192.22 Ir.upf
ATOMIC_POSITIONS crystal
Cl 0.5000 0.5000 0.2500
W 0.0000 0.0000 0.4870
Ir 0.5000 0.5000 0.7500
W 0.0000 0.0000 0.0130
CELL_PARAMETERS angstrom
-1.6063 -2.1062 1.2095
1.9998 -1.9698 -0.7743
3.3240 0.9733 6.1092

***

[13]
! Ir4WCl2, relaxed, DFT GGA-PBE; values from VASP
! - Final energy: -40.37 eV per cell
! - Total moment: 0.00 μB per formula unit
! - Calculated density: 11.36 g/cm³
! - Crystal system: tetragonal
&SYSTEM
  ibrav = 0, nat = 7, ntyp = 3
/
ATOMIC_SPECIES
W 183.84 W.upf
Ir 192.22 Ir.upf
Cl 35.45 Cl.upf
ATOMIC_POSITIONS crystal
W 0.0000 0.0000 0.0000
Ir 0.1913 0.1913 0.6173
Ir 0.5000 0.0000 0.0000
Ir 0.0000 0.5000 0.0000
Cl 0.6203 0.6203 0.7595
Cl 0.3797 0.3797 0.2405
Ir 0.8087 0.8087 0.3827
CELL_PARAMETERS angstrom
4.9352 0.0000 0.0000
0.0000 4.9352 0.0000
2.4676 2.4676 6.1450

***

[14]
! IrWCl3, relaxed, DFT GGA-PBE; values from VASP
! - Total moment: 4.58 μB per formula unit
! - Calculated density: 7.18 g/cm³
! - Energy above the most stable polymorph in this dataset: 69 meV per atom
! - Crystal system: cubic
&SYSTEM
  ibrav = 0, nat = 5, ntyp = 3
/
ATOMIC_SPECIES
Ir 192.22 Ir.upf
Cl 35.45 Cl.upf
W 183.84 W.upf
ATOMIC_POSITIONS crystal
Ir 0.0000 0.0000 0.0000
Cl 0.0000 0.0000 0.5000
W 0.5000 0.5000 0.5000
Cl 0.5000 0.0000 0.0000
Cl 0.0000 0.5000 0.0000
CELL_PARAMETERS angstrom
-3.6264 -0.1649 -3.1605
1.2635 -4.4824 -1.2159
-2.9016 -1.7458 3.4205

***

[15]
! IrW3Cl, relaxed, DFT GGA-PBE; values from VASP
! - Total moment: 1.01 μB per formula unit
! - Calculated density: 11.48 g/cm³
! - Energy above the most stable polymorph in this dataset: 703 meV per atom
! - Crystal system: cubic
&SYSTEM
  ibrav = 0, nat = 5, ntyp = 3
/
ATOMIC_SPECIES
W 183.84 W.upf
Ir 192.22 Ir.upf
Cl 35.45 Cl.upf
ATOMIC_POSITIONS crystal
W 0.5000 0.0000 0.0000
Ir 0.0000 0.0000 0.0000
Cl 0.5000 0.5000 0.5000
W 0.0000 0.5000 0.0000
W 0.0000 0.0000 0.5000
CELL_PARAMETERS angstrom
-3.1322 -3.0130 -2.1080
3.6728 -2.4276 -1.9874
0.1803 -2.8915 3.8651